1.
{
  "formula": "RhC2",
  "functional": "GGA-PBE",
  "state": "optimized geometry",
  "polymorph_energy_mev_per_atom": 0.0,
  "spacegroup": "C2/m, No. 12",
  "delta_e_f_ev_per_atom": 0.46,
  "dos_at_fermi_per_ev_cell": 1.65,
  "lattice": [[5.187, -1.257, -4.335], [6.258, -1.933, -2.095], [-1.064, -3.126, -0.434]],
  "species": ["Rh", "Rh", "C", "C", "C", "C"],
  "frac_coords": [[0.182, 0.182, 0.787], [0.818, 0.818, 0.213], [0.451, 0.451, 0.601], [0.092, 0.092, 0.277], [0.908, 0.908, 0.723], [0.549, 0.549, 0.399]]
}


2.
{
  "formula": "BeTcPd3",
  "functional": "GGA-PBE",
  "state": "optimized geometry",
  "polymorph_energy_mev_per_atom": 0.0,
  "spacegroup": "Pm-3m, No. 221",
  "delta_e_f_ev_per_atom": 0.31,
  "dos_at_fermi_per_ev_cell": 5.22,
  "lattice": [[-0.870, 4.031, -0.979], [-1.126, -1.192, -3.908], [-3.992, -0.542, 1.316]],
  "species": ["Pd", "Pd", "Pd", "Be", "Tc"],
  "frac_coords": [[0.000, 0.000, 0.500], [0.500, 0.000, 0.000], [0.000, 0.500, 0.000], [0.000, 0.000, 0.000], [0.500, 0.500, 0.500]]
}


3.
{
  "formula": "Cd2NiMoBr",
  "functional": "GGA-PBE",
  "state": "optimized geometry",
  "spacegroup": "P4/mmm, No. 123",
  "dos_at_fermi_per_ev_cell": 4.80,
  "e_form_raw_ev_per_fu": 5.1,
  "lattice": [[5.581, 0.000, 0.000], [0.000, 4.465, 0.000], [0.000, 0.000, 5.581]],
  "species": ["Cd", "Cd", "Ni", "Mo", "Br"],
  "frac_coords": [[0.500, 0.000, 0.000], [0.000, 0.000, 0.500], [0.000, 0.500, 0.000], [0.000, 0.000, 0.000], [0.500, 0.500, 0.500]]
}


4.
{
  "formula": "Ga2Ag4Au3",
  "functional": "GGA-PBE",
  "state": "optimized geometry",
  "polymorph_energy_mev_per_atom": 0.0,
  "spacegroup": "C2/m, No. 12",
  "delta_e_f_ev_per_atom": -0.08,
  "dos_at_fermi_per_ev_cell": 1.89,
  "lattice": [[3.981, 0.000, 0.852], [1.815, 4.750, 1.249], [0.275, -0.073, 8.441]],
  "species": ["Au", "Au", "Au", "Ga", "Ga", "Ag", "Ag", "Ag", "Ag"],
  "frac_coords": [[0.673, 0.217, 0.438], [0.000, 0.000, 0.000], [0.327, 0.783, 0.562], [0.667, 0.896, 0.771], [0.333, 0.104, 0.229], [0.336, 0.433, 0.896], [0.993, 0.346, 0.669], [0.007, 0.654, 0.331], [0.664, 0.567, 0.104]]
}


5.
{
  "formula": "ZrInMo",
  "functional": "GGA-PBE",
  "state": "optimized geometry",
  "polymorph_energy_mev_per_atom": 105.1,
  "spacegroup": "Fmm2, No. 42",
  "delta_e_f_ev_per_atom": 0.11,
  "dos_at_fermi_per_ev_cell": 3.10,
  "lattice": [[-3.446, -3.912, -5.206], [-1.562, -5.848, -3.840], [-2.796, -0.483, 1.056]],
  "species": ["Mo", "In", "Zr"],
  "frac_coords": [[0.670, 0.670, 0.330], [0.008, 0.008, 0.992], [0.323, 0.323, 0.677]]
}


6.
{
  "formula": "Zr3Al3Si",
  "functional": "GGA-PBE",
  "state": "optimized geometry",
  "polymorph_energy_mev_per_atom": 0.0,
  "spacegroup": "P6_3/m, No. 176",
  "dos_at_fermi_per_ev_cell": 9.73,
  "e_form_raw_ev_per_fu": -3.0,
  "lattice": [[-7.606, 2.157, -0.797], [2.273, -7.353, -1.978], [-0.868, -1.444, 4.372]],
  "species": ["Al", "Al", "Al", "Al", "Al", "Al", "Zr", "Zr", "Zr", "Zr", "Zr", "Zr", "Si", "Si"],
  "frac_coords": [[0.956, 0.777, 0.750], [0.178, 0.955, 0.250], [0.044, 0.223, 0.250], [0.822, 0.045, 0.750], [0.223, 0.178, 0.750], [0.777, 0.822, 0.250], [0.360, 0.908, 0.750], [0.451, 0.360, 0.250], [0.092, 0.451, 0.750], [0.640, 0.092, 0.250], [0.549, 0.640, 0.750], [0.908, 0.549, 0.250], [0.333, 0.667, 0.250], [0.667, 0.333, 0.750]]
}


7.
{
  "formula": "Nd8PdPb2",
  "functional": "GGA-PBE",
  "state": "optimized geometry",
  "spacegroup": "C2/m, No. 12",
  "delta_e_f_ev_per_atom": -0.34,
  "dos_at_fermi_per_ev_cell": 9.41,
  "lattice": [[5.148, 0.000, 0.000], [0.000, 7.042, 0.184], [-2.574, -2.711, 9.575]],
  "species": ["Nd", "Nd", "Nd", "Nd", "Nd", "Nd", "Nd", "Nd", "Pd", "Pb", "Pb"],
  "frac_coords": [[0.647, 0.004, 0.294], [0.214, 0.325, 0.429], [0.591, 0.475, 0.182], [0.786, 0.675, 0.571], [0.985, 0.222, 0.970], [0.015, 0.778, 0.030], [0.409, 0.525, 0.818], [0.353, 0.996, 0.706], [0.500, 0.000, 0.000], [0.818, 0.238, 0.636], [0.182, 0.762, 0.364]]
}


8.
{
  "formula": "PaCuPbS4",
  "functional": "GGA-PBE",
  "state": "optimized geometry",
  "spacegroup": "P2_1/m, No. 11",
  "e_form_raw_ev_per_fu": -6.6,
  "lattice": [[-3.630, -2.490, 4.616], [5.118, -1.052, 3.457], [0.672, 8.016, 1.445]],
  "species": ["Cu", "Cu", "S", "S", "S", "S", "S", "S", "S", "S", "Pb", "Pb", "Pa", "Pa"],
  "frac_coords": [[0.769, 0.250, 0.666], [0.231, 0.750, 0.334], [0.976, 0.014, 0.285], [0.542, 0.250, 0.396], [0.433, 0.750, 0.143], [0.024, 0.514, 0.715], [0.976, 0.486, 0.285], [0.567, 0.250, 0.857], [0.024, 0.986, 0.715], [0.458, 0.750, 0.604], [0.273, 0.250, 0.053], [0.727, 0.750, 0.947], [0.768, 0.750, 0.447], [0.232, 0.250, 0.553]]
}


Computed total DFT energy (no corrections), in the same sequence as the records: -8.1385 -5.6210 -3.0099 -3.1079 -7.2615 -6.4680 -4.9491 -5.7739 eV/atom.